# 1
Entry from the Alexandria database: an optimized crystal structure of CaMg2Tl6 (PBE).

Values from the calculation:
energy = -2.2407 eV per atom
spin magnetization = 0.000 μB/cell
symmetry = No. 15

a b c (Å): 5.691 9.767 9.767
angles (deg): 69.51 84.13 84.13
Sites, in units of the cell vectors:
Ca (0.250, 0.132, 0.868)
Ca (0.750, 0.868, 0.132)
Mg (0.411, 0.535, 0.799)
Mg (0.089, 0.201, 0.465)
Mg (0.589, 0.465, 0.201)
Mg (0.911, 0.799, 0.535)
Tl (0.470, 0.675, 0.452)
Tl (0.030, 0.548, 0.325)
Tl (0.530, 0.325, 0.548)
Tl (0.970, 0.452, 0.675)
Tl (0.652, 0.108, 0.347)
Tl (0.848, 0.653, 0.892)
Tl (0.348, 0.892, 0.653)
Tl (0.152, 0.347, 0.108)
Tl (0.301, 0.754, 0.016)
Tl (0.199, 0.984, 0.246)
Tl (0.699, 0.246, 0.984)
Tl (0.801, 0.016, 0.754)


# 2
Entry from the Alexandria database: an optimized crystal structure of Sm2LuZn (PBE).

Values from the calculation:
energy = -3.8011 eV per atom
spin magnetization = 0.001 μB/cell
symmetry = No. 225

a b c (Å): 5.364 5.364 5.364
angles (deg): 60.00 60.00 60.00
Sites, in units of the cell vectors:
Zn (0.000, 0.000, 0.000)
Lu (0.500, 0.500, 0.500)
Sm (0.250, 0.250, 0.250)
Sm (0.750, 0.750, 0.750)